The following is a PBE calculation of an optimized crystal structure of Rb4Pm3TmO8, from Alexandria.

```
data_Rb4Pm3TmO8
_cell_length_a 7.1831
_cell_length_b 7.1831
_cell_length_c 19.7644
_cell_angle_alpha 90.00
_cell_angle_beta 90.00
_cell_angle_gamma 120.00
_space_group_name_H-M_alt 'R -3 m'
_space_group_IT_number 166
_space_group_name_Hall '-R 3 2"'
loop_
_atom_site_label
_atom_site_fract_x
_atom_site_fract_y
_atom_site_fract_z
Rb1 0.0000 0.0000 0.0000
Rb2 0.0000 0.5000 0.0000
Pm1 0.0000 0.5000 0.5000
Tm1 0.0000 0.0000 0.5000
O1 0.0000 0.0000 0.2266
O2 0.0106 0.5053 0.2257
```

- theoretical density (kg/m3) = 6057
- VASP energy (eV per atom) = -6.51